one) VASP calculation (PBE-GGA) on crystalline TaW3Au at its relaxed geometry.

Output
Calculated density, g/cm3: 14.10
Volume, Å³ per cell: 109
Space group: No. 221

Lattice parameters (Å, degrees): 4.783 4.783 4.783 90.00 90.00 90.00
Element x y z (fractional)
W 0.500 0.000 0.000
W 0.000 0.500 0.000
W 0.000 0.000 0.500
Au 0.000 0.000 0.000
Ta 0.500 0.500 0.500

two) VASP calculation (PBE-GGA) on crystalline TaW3Au at its relaxed geometry.

Output
Calculated density, g/cm3: 14.32
Volume, Å³ per cell: 108
Space group: No. 221

Lattice parameters (Å, degrees): 4.759 4.759 4.759 90.00 90.00 90.00
Element x y z (fractional)
W 0.500 0.000 0.000
W 0.000 0.000 0.500
W 0.000 0.500 0.000
Ta 0.000 0.000 0.000
Au 0.500 0.500 0.500

two) is the most stable structure; the next one sits 382 meV/atom above it.